DFT (GGA-PBE) results for an optimized crystal structure of In3BiCl.

Unit cell a=5.5951 b=5.5951 c=5.5951 alpha=90.00 beta=90.00 gamma=90.00
Closest atoms and distances in Å follow each position.
Atoms (fractional coordinates):
In (0.0000, 0.5000, 0.0000)  2 Cl 2.80
In (0.0000, 0.0000, 0.5000)  2 Cl 2.80
Cl (0.0000, 0.0000, 0.0000)  6 In 2.80
In (0.5000, 0.0000, 0.0000)  2 Cl 2.80
Bi (0.5000, 0.5000, 0.5000)  12 In 3.96

Properties
**Distance to the lowest polymorph of the same formula**: 0 meV/atom
**SG**: Pm-3m, No. 221

---

DFT (GGA-PBE) results for an optimized crystal structure of Hf3FeCo2.

Unit cell a=4.4599 b=4.4599 c=10.9214 alpha=90.00 beta=90.00 gamma=120.00
Closest atoms and distances in Å follow each position.
Atoms (fractional coordinates):
Hf (0.3333, 0.6667, 0.9152)  1 Fe 2.71, 7 Co 2.72-2.74
Hf (0.0000, 0.0000, 0.2516)  5 Co 2.71-2.75, 3 Fe 2.72
Fe (0.6667, 0.3333, 0.3329)  8 Hf 2.71-2.73
Hf (0.3333, 0.6667, 0.4169)  4 Co 2.73-2.74, 4 Fe 2.73
Hf (0.6667, 0.3333, 0.0848)  1 Fe 2.71, 7 Co 2.72-2.74
Co (0.6667, 0.3333, 0.8336)  8 Hf 2.72-2.74
Co (0.3333, 0.6667, 0.1664)  8 Hf 2.72-2.74
Co (0.0000, 0.0000, 0.5000)  8 Hf 2.71-2.73
Hf (0.6667, 0.3333, 0.5831)  4 Co 2.73-2.74, 4 Fe 2.73
Fe (0.3333, 0.6667, 0.6671)  8 Hf 2.71-2.73
Co (0.0000, 0.0000, 0.0000)  8 Hf 2.74-2.75
Hf (0.0000, 0.0000, 0.7484)  5 Co 2.71-2.75, 3 Fe 2.72

Properties
**Distance to the lowest polymorph of the same formula**: 0 meV/atom
**Formation energy from the elements**: -0.37 eV per atom
**SG**: P-3m1, No. 164

---

DFT (GGA-PBE) results for an optimized crystal structure of ScSi2W.

Unit cell a=2.9257 b=2.9257 c=7.7587 alpha=90.00 beta=90.00 gamma=105.28
Closest atoms and distances in Å follow each position.
Atoms (fractional coordinates):
Si (0.0000, 0.0000, 0.0140)  2 W 2.55, 2 Sc 2.71
W (0.5000, 0.5000, 0.2500)  4 Si 2.55
Si (0.0000, 0.0000, 0.4860)  2 W 2.55, 2 Sc 2.71
Sc (0.5000, 0.5000, 0.7500)  4 Si 2.71, 4 Sc 2.93

Properties
**Distance to the lowest polymorph of the same formula**: 273 meV/atom
**SG**: Cmmm, No. 65

---

DFT (GGA-PBE) results for an optimized crystal structure of LiReNi2.

Unit cell a=2.6600 b=2.6600 c=6.9502 alpha=90.00 beta=90.00 gamma=90.00
Closest atoms and distances in Å follow each position.
Atoms (fractional coordinates):
Ni (0.0000, 0.0000, 0.5030)  4 Li 2.55, 4 Re 2.57, 4 Ni 2.66
Li (0.5000, 0.5000, 0.7500)  8 Ni 2.55, 4 Li 2.66
Re (0.5000, 0.5000, 0.2500)  8 Ni 2.57, 4 Re 2.66
Ni (0.0000, 0.0000, 0.9970)  4 Li 2.55, 4 Re 2.57, 4 Ni 2.66

Properties
**Distance to the lowest polymorph of the same formula**: 18 meV/atom
**Formation energy from the elements**: 0.02 eV per atom
**SG**: P4/mmm, No. 123